# 1
# TcSe2Br

A relaxed structure of TcSe2Br (PBE-GGA, Alexandria via LeMat-Bulk).

Output
* formation energy from raw total energies: -0.10 eV/atom
* size of the total moment: 0.00 μB/f.u.

Geometry as CIF:
```
data_TcSe2Br
_chemical_formula_sum 'Tc1 Se2 Br1'
_space_group_name_H-M_alt 'P 1'
_space_group_IT_number 1
_space_group_name_Hall 'P 1'
_cell_length_a 6.610
_cell_length_b 6.610
_cell_length_c 6.375
_cell_angle_alpha 62.22
_cell_angle_beta 62.22
_cell_angle_gamma 27.37
loop_
_atom_site_label
_atom_site_fract_x
_atom_site_fract_y
_atom_site_fract_z
Tc1 0.498 0.498 0.629
Se1 0.850 0.850 0.633
Se2 0.989 0.989 0.932
Br1 0.162 0.162 0.306
```



# 2
# TcSe2Br

A relaxed structure of TcSe2Br (PBE-GGA, Alexandria via LeMat-Bulk).

Output
* formation energy from raw total energies: 0.22 eV/atom
* size of the total moment: 0.00 μB/f.u.

Geometry as CIF:
```
data_TcSe2Br
_chemical_formula_sum 'Tc1 Se2 Br1'
_space_group_name_H-M_alt 'P 1'
_space_group_IT_number 1
_space_group_name_Hall 'P 1'
_cell_length_a 3.012
_cell_length_b 3.012
_cell_length_c 9.761
_cell_angle_alpha 90.00
_cell_angle_beta 90.00
_cell_angle_gamma 90.00
loop_
_atom_site_label
_atom_site_fract_x
_atom_site_fract_y
_atom_site_fract_z
Tc1 0.000 0.000 0.489
Se1 0.500 0.500 0.338
Se2 0.000 0.000 0.003
Br1 0.500 0.500 0.671
```



# 3
# TcSeBr2

A relaxed structure of TcSeBr2 (PBE-GGA, Alexandria via LeMat-Bulk).

Output
* formation energy from raw total energies: 0.92 eV/atom
* size of the total moment: 2.93 μB/f.u.

Geometry as CIF:
```
data_TcSeBr2
_chemical_formula_sum 'Tc1 Se1 Br2'
_space_group_name_H-M_alt 'P 1'
_space_group_IT_number 1
_space_group_name_Hall 'P 1'
_cell_length_a 5.024
_cell_length_b 5.024
_cell_length_c 5.024
_cell_angle_alpha 60.00
_cell_angle_beta 60.00
_cell_angle_gamma 60.00
loop_
_atom_site_label
_atom_site_fract_x
_atom_site_fract_y
_atom_site_fract_z
Br1 0.750 0.750 0.750
Br2 0.250 0.250 0.250
Se1 0.000 0.000 0.000
Tc1 0.500 0.500 0.500
```



# 4
# TcSe2Br

A relaxed structure of TcSe2Br (PBE-GGA, Alexandria via LeMat-Bulk).

Output
* formation energy from raw total energies: -0.26 eV/atom
* size of the total moment: 0.00 μB/f.u.

Geometry as CIF:
```
data_TcSe2Br
_chemical_formula_sum 'Tc2 Se4 Br2'
_space_group_name_H-M_alt 'P 1'
_space_group_IT_number 1
_space_group_name_Hall 'P 1'
_cell_length_a 3.192
_cell_length_b 7.579
_cell_length_c 10.069
_cell_angle_alpha 111.64
_cell_angle_beta 89.39
_cell_angle_gamma 90.13
loop_
_atom_site_label
_atom_site_fract_x
_atom_site_fract_y
_atom_site_fract_z
Se1 0.477 0.478 0.419
Se2 0.469 0.950 0.741
Se3 0.960 0.912 0.016
Se4 0.968 0.440 0.694
Tc1 0.973 0.692 0.598
Tc2 0.465 0.698 0.837
Br1 0.979 0.886 0.431
Br2 0.458 0.504 0.004
```



# 5
# TcSeBr2

A relaxed structure of TcSeBr2 (PBE-GGA, Alexandria via LeMat-Bulk).

Output
* formation energy from raw total energies: 0.05 eV/atom
* size of the total moment: 0.00 μB/f.u.

Geometry as CIF:
```
data_TcSeBr2
_chemical_formula_sum 'Tc2 Se2 Br4'
_space_group_name_H-M_alt 'P 1'
_space_group_IT_number 1
_space_group_name_Hall 'P 1'
_cell_length_a 9.460
_cell_length_b 9.460
_cell_length_c 7.093
_cell_angle_alpha 48.18
_cell_angle_beta 48.18
_cell_angle_gamma 90.00
loop_
_atom_site_label
_atom_site_fract_x
_atom_site_fract_y
_atom_site_fract_z
Br1 0.980 0.625 0.250
Br2 0.770 0.125 0.250
Br3 0.375 0.230 0.750
Br4 0.875 0.020 0.750
Tc1 0.000 0.000 0.000
Tc2 0.750 0.250 0.500
Se1 0.250 0.750 0.500
Se2 0.500 0.500 0.000
```



# 6
# TcSe2Br

A relaxed structure of TcSe2Br (PBE-GGA, Alexandria via LeMat-Bulk).

Output
* formation energy from raw total energies: -0.34 eV/atom
* size of the total moment: 0.40 μB/f.u.

Geometry as CIF:
```
data_TcSe2Br
_chemical_formula_sum 'Tc2 Se4 Br2'
_space_group_name_H-M_alt 'P 1'
_space_group_IT_number 1
_space_group_name_Hall 'P 1'
_cell_length_a 3.361
_cell_length_b 8.756
_cell_length_c 7.934
_cell_angle_alpha 105.04
_cell_angle_beta 78.52
_cell_angle_gamma 101.01
loop_
_atom_site_label
_atom_site_fract_x
_atom_site_fract_y
_atom_site_fract_z
Tc1 0.989 0.015 0.276
Tc2 0.531 0.261 0.447
Se1 0.148 0.280 0.218
Se2 0.902 0.717 0.145
Se3 0.076 0.886 0.952
Se4 0.372 0.988 0.495
Br1 0.935 0.323 0.718
Br2 0.664 0.574 0.494
```



# 7
# TcSe2Br

A relaxed structure of TcSe2Br (PBE-GGA, Alexandria via LeMat-Bulk).

Output
* formation energy from raw total energies: -0.18 eV/atom
* size of the total moment: 0.00 μB/f.u.

Geometry as CIF:
```
data_TcSe2Br
_chemical_formula_sum 'Tc4 Se8 Br4'
_space_group_name_H-M_alt 'P 1'
_space_group_IT_number 1
_space_group_name_Hall 'P 1'
_cell_length_a 10.034
_cell_length_b 3.207
_cell_length_c 12.529
_cell_angle_alpha 90.00
_cell_angle_beta 90.00
_cell_angle_gamma 90.00
loop_
_atom_site_label
_atom_site_fract_x
_atom_site_fract_y
_atom_site_fract_z
Se1 0.988 0.250 0.790
Se2 0.488 0.250 0.710
Se3 0.850 0.250 0.417
Se4 0.150 0.750 0.583
Se5 0.350 0.250 0.083
Se6 0.012 0.750 0.210
Se7 0.650 0.750 0.917
Se8 0.512 0.750 0.290
Tc1 0.037 0.750 0.408
Tc2 0.537 0.750 0.092
Tc3 0.463 0.250 0.908
Tc4 0.963 0.250 0.592
Br1 0.741 0.250 0.141
Br2 0.259 0.750 0.859
Br3 0.241 0.250 0.359
Br4 0.759 0.750 0.641
```



# 8
# Tc2SeBr

A relaxed structure of Tc2SeBr (PBE-GGA, Alexandria via LeMat-Bulk).

Output
* formation energy from raw total energies: 0.36 eV/atom
* size of the total moment: 0.00 μB/f.u.

Geometry as CIF:
```
data_Tc2SeBr
_chemical_formula_sum 'Tc2 Se1 Br1'
_space_group_name_H-M_alt 'P 1'
_space_group_IT_number 1
_space_group_name_Hall 'P 1'
_cell_length_a 4.854
_cell_length_b 4.854
_cell_length_c 7.518
_cell_angle_alpha 55.78
_cell_angle_beta 55.78
_cell_angle_gamma 40.81
loop_
_atom_site_label
_atom_site_fract_x
_atom_site_fract_y
_atom_site_fract_z
Tc1 0.025 0.025 0.127
Tc2 0.475 0.475 0.373
Se1 0.250 0.250 0.250
Br1 0.750 0.750 0.750
```



# 9
# Tc2SeBr

A relaxed structure of Tc2SeBr (PBE-GGA, Alexandria via LeMat-Bulk).

Output
* formation energy from raw total energies: 0.97 eV/atom
* size of the total moment: 0.01 μB/f.u.

Geometry as CIF:
```
data_Tc2SeBr
_chemical_formula_sum 'Tc2 Se1 Br1'
_space_group_name_H-M_alt 'P 1'
_space_group_IT_number 1
_space_group_name_Hall 'P 1'
_cell_length_a 5.029
_cell_length_b 5.029
_cell_length_c 5.029
_cell_angle_alpha 133.09
_cell_angle_beta 133.09
_cell_angle_gamma 68.52
loop_
_atom_site_label
_atom_site_fract_x
_atom_site_fract_y
_atom_site_fract_z
Tc1 0.250 0.750 0.500
Tc2 0.000 0.000 0.000
Se1 0.750 0.250 0.500
Br1 0.500 0.500 0.000
```



# 10
# TcSeBr2

A relaxed structure of TcSeBr2 (PBE-GGA, Alexandria via LeMat-Bulk).

Output
* formation energy from raw total energies: -0.13 eV/atom
* size of the total moment: 1.02 μB/f.u.

Geometry as CIF:
```
data_TcSeBr2
_chemical_formula_sum 'Tc1 Se1 Br2'
_space_group_name_H-M_alt 'P 1'
_space_group_IT_number 1
_space_group_name_Hall 'P 1'
_cell_length_a 3.458
_cell_length_b 6.469
_cell_length_c 6.627
_cell_angle_alpha 60.03
_cell_angle_beta 90.00
_cell_angle_gamma 90.00
loop_
_atom_site_label
_atom_site_fract_x
_atom_site_fract_y
_atom_site_fract_z
Se1 0.000 0.610 0.610
Tc1 0.500 0.835 0.661
Br1 0.500 0.192 0.291
Br2 0.000 0.863 0.939
```



# 11
# TcSe2Br

A relaxed structure of TcSe2Br (PBE-GGA, Alexandria via LeMat-Bulk).

Output
* formation energy from raw total energies: -0.08 eV/atom
* size of the total moment: 0.14 μB/f.u.

Geometry as CIF:
```
data_TcSe2Br
_chemical_formula_sum 'Tc1 Se2 Br1'
_space_group_name_H-M_alt 'P 1'
_space_group_IT_number 1
_space_group_name_Hall 'P 1'
_cell_length_a 8.513
_cell_length_b 3.419
_cell_length_c 3.419
_cell_angle_alpha 120.11
_cell_angle_beta 101.43
_cell_angle_gamma 78.57
loop_
_atom_site_label
_atom_site_fract_x
_atom_site_fract_y
_atom_site_fract_z
Tc1 0.000 0.000 0.000
Se1 0.806 0.731 0.269
Se2 0.194 0.269 0.731
Br1 0.500 0.500 0.500
```



# 12
# Tc2SeBr

A relaxed structure of Tc2SeBr (PBE-GGA, Alexandria via LeMat-Bulk).

Output
* formation energy from raw total energies: 0.69 eV/atom
* size of the total moment: 0.00 μB/f.u.

Geometry as CIF:
```
data_Tc2SeBr
_chemical_formula_sum 'Tc4 Se2 Br2'
_space_group_name_H-M_alt 'P 1'
_space_group_IT_number 1
_space_group_name_Hall 'P 1'
_cell_length_a 5.561
_cell_length_b 5.561
_cell_length_c 6.862
_cell_angle_alpha 66.10
_cell_angle_beta 66.10
_cell_angle_gamma 90.00
loop_
_atom_site_label
_atom_site_fract_x
_atom_site_fract_y
_atom_site_fract_z
Se1 0.250 0.750 0.500
Se2 0.500 0.500 0.000
Tc1 0.875 0.864 0.750
Tc2 0.375 0.386 0.750
Tc3 0.136 0.625 0.250
Tc4 0.614 0.125 0.250
Br1 0.750 0.250 0.500
Br2 0.000 0.000 0.000
```



# 13
# TcSeBr

A relaxed structure of TcSeBr (PBE-GGA, Alexandria via LeMat-Bulk).

Output
* formation energy from raw total energies: -0.09 eV/atom
* size of the total moment: 0.00 μB/f.u.

Geometry as CIF:
```
data_TcSeBr
_chemical_formula_sum 'Tc1 Se1 Br1'
_space_group_name_H-M_alt 'P 1'
_space_group_IT_number 1
_space_group_name_Hall 'P 1'
_cell_length_a 3.814
_cell_length_b 3.814
_cell_length_c 6.231
_cell_angle_alpha 90.00
_cell_angle_beta 90.00
_cell_angle_gamma 120.00
loop_
_atom_site_label
_atom_site_fract_x
_atom_site_fract_y
_atom_site_fract_z
Se1 0.667 0.333 0.477
Tc1 0.333 0.667 0.626
Br1 0.000 0.000 0.897
```



# 14
# TcSe2Br

A relaxed structure of TcSe2Br (PBE-GGA, Alexandria via LeMat-Bulk).

Output
* formation energy from raw total energies: -0.08 eV/atom
* size of the total moment: 1.61 μB/f.u.

Geometry as CIF:
```
data_TcSe2Br
_chemical_formula_sum 'Tc1 Se2 Br1'
_space_group_name_H-M_alt 'P 1'
_space_group_IT_number 1
_space_group_name_Hall 'P 1'
_cell_length_a 8.317
_cell_length_b 8.317
_cell_length_c 8.317
_cell_angle_alpha 25.88
_cell_angle_beta 25.88
_cell_angle_gamma 25.88
loop_
_atom_site_label
_atom_site_fract_x
_atom_site_fract_y
_atom_site_fract_z
Se1 0.890 0.890 0.890
Se2 0.110 0.110 0.110
Tc1 0.500 0.500 0.500
Br1 0.000 0.000 0.000
```



For reference, energy above the most stable polymorph in this dataset by record: 262.2 576.0 1062.3 99.7 192.8 23.8 184.3 248.4 857.6 21.1 277.6 582.9 186.2 279.6 meV per atom.